Density functional theory data (PBE) for Pr5Pb after structural relaxation.

a = 11.6693 Å, b = 4.9703 Å, c = 7.4055 Å
α = 90.00°, β = 109.60°, γ = 90.00°
With the nearest neighbours (Å) after each atom.
Sites, in units of the cell vectors:
Pr1 0.0000 0.0000 0.0000  10 Pr 3.56-3.82, 2 Pb 3.70
Pr2 0.1523 0.5000 0.8209  2 Pb 3.49, 10 Pr 3.56-3.82
Pr3 0.1812 0.5000 0.3400  9 Pr 3.44-3.74, 3 Pb 3.51-3.71
Pr4 0.3188 0.0000 0.6600  9 Pr 3.44-3.74, 3 Pb 3.51-3.71
Pr5 0.3477 0.0000 0.1791  2 Pb 3.49, 10 Pr 3.56-3.82
Pr6 0.5000 0.5000 0.0000  10 Pr 3.56-3.82, 2 Pb 3.70
Pr7 0.6523 0.0000 0.8209  2 Pb 3.49, 10 Pr 3.56-3.82
Pr8 0.6812 0.0000 0.3400  9 Pr 3.44-3.74, 3 Pb 3.51-3.71
Pr9 0.8188 0.5000 0.6600  9 Pr 3.44-3.74, 3 Pb 3.51-3.71
Pr10 0.8477 0.5000 0.1791  2 Pb 3.49, 10 Pr 3.56-3.82
Pb1 0.0000 0.0000 0.5000  12 Pr 3.49-3.71
Pb2 0.5000 0.5000 0.5000  12 Pr 3.49-3.71

Summary:
SG	C2/m
relative energy among the computed polymorphs	22	meV per atom
formation enthalpy at 0 K	-99	kJ/mol of formula units

---

Density functional theory data (PBE) for Pr7Pb after structural relaxation.

a = 7.2831 Å, b = 7.2831 Å, c = 7.2831 Å
α = 60.00°, β = 60.00°, γ = 60.00°
With the nearest neighbours (Å) after each atom.
Sites, in units of the cell vectors:
Pr1 0.0000 0.0000 0.0000  12 Pr 3.64
Pr2 0.0000 0.0000 0.5000  10 Pr 3.64, 2 Pb 3.64
Pr3 0.0000 0.5000 0.0000  10 Pr 3.64, 2 Pb 3.64
Pr4 0.0000 0.5000 0.5000  2 Pb 3.64, 10 Pr 3.64
Pr5 0.5000 0.0000 0.0000  10 Pr 3.64, 2 Pb 3.64
Pr6 0.5000 0.0000 0.5000  2 Pb 3.64, 10 Pr 3.64
Pr7 0.5000 0.5000 0.0000  2 Pb 3.64, 10 Pr 3.64
Pb1 0.5000 0.5000 0.5000  12 Pr 3.64

Summary:
SG	Fm-3m
formation enthalpy at 0 K	-86	kJ/mol of formula units